No. 1
Sr2CeDyS4 PBE relaxed; space group = No. 10; crystal system = monoclinic; density of states at the Fermi level = 0.993 states/eV per atom; volume = 197.3 Å³ per cell; formation energy from raw total energies = -2017.9 meV per atom
1.0
7.076 0.000 0.000
0.000 4.081 0.000
-2.351 0.000 6.831
Sr Ce Dy S
2 1 1 4
direct
0.000 0.000 0.000
0.500 0.500 0.000
0.000 0.500 0.500
0.500 0.000 0.500
0.252 0.000 0.736
0.262 0.500 0.269
0.738 0.500 0.731
0.748 0.000 0.264

---

No. 2
Sm12AlTl3 PBE relaxed; space group = No. 123; crystal system = tetragonal; density of states at the Fermi level = 1.630 states/eV per atom; volume = 475.4 Å³ per cell; energy of formation = -0.19 eV/atom
1.0
4.912 0.000 0.000
0.000 4.912 0.000
0.000 0.000 19.700
Sm Al Tl
12 1 3
direct
0.000 0.000 0.000
0.000 0.000 0.247
0.000 0.000 0.500
0.000 0.000 0.753
0.000 0.500 0.120
0.000 0.500 0.374
0.000 0.500 0.626
0.000 0.500 0.880
0.500 0.000 0.120
0.500 0.000 0.374
0.500 0.000 0.626
0.500 0.000 0.880
0.500 0.500 0.000
0.500 0.500 0.248
0.500 0.500 0.500
0.500 0.500 0.752

---

No. 3
Sb2Au2O7 PBE relaxed; space group = No. 12; crystal system = monoclinic; density of states at the Fermi level = 0.262 states/eV per atom; volume = 168.5 Å³ per cell; formation energy from raw total energies = -534.7 meV per atom
1.0
3.140 -4.340 0.000
3.140 4.340 0.000
-1.477 0.000 6.183
Sb Au O
2 2 7
direct
0.188 0.812 0.000
0.812 0.188 0.000
0.206 0.206 0.544
0.794 0.794 0.456
0.076 0.431 0.829
0.121 0.121 0.190
0.431 0.076 0.829
0.500 0.500 0.500
0.569 0.924 0.171
0.879 0.879 0.810
0.924 0.569 0.171

---

no.,energy (eV/f.u.)
1,-46.6
2,-70.5
3,-55.4